{"formula": "HfZr2Be2", "functional": "GGA-PBE", "state": "relaxed", "magnetic_moment_mub_per_fu": 0.00, "e_above_lowest_polymorph_mev_per_atom": 289.5, "ef_ev_per_fu": 1.27, "spacegroup": "No. 127", "crystal_system": "tetragonal", "rho_kg_m3": 7146, "e_tot_ev_per_cell": -66.5, "lattice": [[-2.013, -1.525, 7.323], [7.456, -1.018, 1.838], [0.228, 2.852, 0.656]], "species": ["Zr", "Zr", "Zr", "Zr", "Be", "Be", "Be", "Be", "Hf", "Hf"], "frac_coords": [[0.135, 0.365, 0.000], [0.365, 0.865, 0.000], [0.635, 0.135, 0.000], [0.865, 0.635, 0.000], [0.333, 0.167, 0.500], [0.667, 0.833, 0.500], [0.833, 0.333, 0.500], [0.167, 0.667, 0.500], [0.000, 0.000, 0.000], [0.500, 0.500, 0.000]]}